Below is RbNa2VF6 after structural relaxation, with properties calculated at the GGA+U level.

Geometry as CIF:
```
data_RbNa2VF6
_space_group_name_H-M_alt 'P 1 21/c 1'
_space_group_IT_number 14
_space_group_name_Hall '-P 2ybc'
_cell_length_a 6.003
_cell_length_b 6.039
_cell_length_c 10.492
_cell_angle_alpha 90.00
_cell_angle_beta 124.23
_cell_angle_gamma 90.00
loop_
_atom_site_label
_atom_site_type_symbol
_atom_site_fract_x
_atom_site_fract_y
_atom_site_fract_z
_atom_site_occupancy
Rb1 Rb 0.000 0.000 0.000 1
Na1 Na 0.275 0.067 0.774 1
V1 V 0.500 0.000 0.500 1
F1 F 0.141 0.063 0.302 1
F2 F 0.333 0.626 0.102 1
F3 F 0.469 0.201 0.061 1
```

## Properties
**M_tot**: 0.20 μB/atom
**Density**: 3.1 Mg/m³
**Fermi-level density of states**: 0.00 states/eV per atom
**Total energy**: -101.27 eV per cell